Entry 1:
Density functional theory data (PBE-GGA) for crystalline NbCo at its relaxed geometry.

VASP energy = -17.0 eV per formula unit
Formation energy = 0.14 eV/f.u.

a b c (Å): 4.1990 5.0703 8.7881
angles (deg): 90.00 90.00 90.00
With the nearest neighbours (Å) after each atom.
Atoms (fractional coordinates):
Nb 0.4999 0.0000 0.3334  6 Co 2.56
Co 0.0000 0.2500 0.7500  4 Co 2.54, 6 Nb 2.54-2.56
Nb 0.9996 0.5000 0.5000  6 Co 2.54
Co 0.0000 0.7500 0.2500  4 Co 2.54, 6 Nb 2.54-2.56
Co 0.9999 0.0000 0.5000  6 Nb 2.54-2.56, 4 Co 2.54
Nb 0.5001 0.5000 0.8334  6 Co 2.56
Nb 0.5001 0.5000 0.1666  6 Co 2.56
Co 0.0000 0.7500 0.7500  4 Co 2.54, 6 Nb 2.54-2.56
Co 0.0001 0.5000 0.0000  6 Nb 2.54-2.56, 4 Co 2.54
Nb 0.4999 0.0000 0.6666  6 Co 2.56
Co 0.0000 0.2500 0.2500  4 Co 2.54, 6 Nb 2.54-2.56
Nb 0.0004 0.0000 0.0000  6 Co 2.54

Entry 2:
Density functional theory data (PBE-GGA) for crystalline CaNd2Sn2 at its relaxed geometry.

Energy above the lowest structure with this stoichiometry = 318 meV/atom
VASP energy = -21.5 eV per formula unit
Formation energy = -1.99 eV/f.u.

a b c (Å): 4.1077 6.3377 6.9985
angles (deg): 103.70 107.07 90.00
With the nearest neighbours (Å) after each atom.
Atoms (fractional coordinates):
Ca 0.0000 0.0000 0.0000  4 Sn 3.30
Sn 0.3010 0.8940 0.6020  2 Sn 2.97, 3 Nd 3.18-3.30, 2 Ca 3.30
Nd 0.6420 0.5645 0.2840  4 Sn 3.18-3.33
Sn 0.6990 0.1060 0.3980  2 Sn 2.97, 3 Nd 3.18-3.30, 2 Ca 3.30
Nd 0.3580 0.4355 0.7160  4 Sn 3.18-3.33

Entry 3:
Density functional theory data (PBE-GGA) for crystalline AcEuZnRu at its relaxed geometry.

VASP energy = -25.2 eV per formula unit
Formation energy = -0.22 eV/f.u.

a b c (Å): 5.2089 5.2089 5.2089
angles (deg): 60.00 60.00 60.00
With the nearest neighbours (Å) after each atom.
Atoms (fractional coordinates):
Ac 0.2500 0.2500 0.2500  4 Ru 3.19, 4 Zn 3.19
Ru 0.5000 0.5000 0.5000  4 Eu 3.19, 4 Ac 3.19
Eu 0.7500 0.7500 0.7500  4 Ru 3.19, 4 Zn 3.19
Zn 0.0000 0.0000 0.0000  4 Ac 3.19, 4 Eu 3.19

Entry 4:
Density functional theory data (PBE-GGA) for crystalline MgZnNi2 at its relaxed geometry.

VASP energy = -15.2 eV per formula unit
Formation energy = -0.82 eV/f.u.

a b c (Å): 4.1803 4.1803 4.1803
angles (deg): 60.00 60.00 60.00
With the nearest neighbours (Å) after each atom.
Atoms (fractional coordinates):
Ni 0.7500 0.7500 0.7500  4 Mg 2.56, 4 Zn 2.56
Zn 0.5000 0.5000 0.5000  8 Ni 2.56
Mg 0.0000 0.0000 0.0000  8 Ni 2.56
Ni 0.2500 0.2500 0.2500  4 Mg 2.56, 4 Zn 2.56

Entry 5:
Density functional theory data (PBE-GGA) for crystalline H4PbI3N at its relaxed geometry.

Energy above the lowest structure with this stoichiometry = 36 meV/atom
VASP energy = -34.6 eV per formula unit

a b c (Å): 6.4159 6.4159 6.2403
angles (deg): 90.20 90.20 99.16
With the nearest neighbours (Å) after each atom.
Atoms (fractional coordinates):
H 0.8643 0.0348 0.8835  1 N 1.04
H 0.9327 0.9327 0.1203  1 N 1.03
I 0.4274 0.4274 0.0338  1 H 2.64
Pb 0.5142 0.5142 0.5345  6 I 3.19-3.33
I 0.6042 0.0176 0.5392  1 H 2.71
H 0.1110 0.1110 0.9897  1 N 1.04
N 0.9861 0.9861 0.9716  4 H 1.03-1.04
H 0.0348 0.8643 0.8835  1 N 1.04
I 0.0176 0.6042 0.5392  1 H 2.71

Question: Look up the VASP energy of the fourth one.
Answer: -15.2 eV per formula unit